YScMn2 | PBE-GGA | relaxed

## Properties
Fermi-level density of states, states/eV/cell: 5.23
Total energy, eV per atom: -7.63
Magnetization, Bohr magnetons per cell: 5.1
Formation energy from the elements, meV per atom: 150

abc: 3.424 3.418 6.701
angles: 90.00 90.00 90.00
Site moments in Bohr magnetons follow the coordinates.
Fractional coordinates of all 4 atoms:
Mn 0.000 0.000 0.462  3.00
Mn 0.000 0.000 0.038  3.00
Sc 0.500 0.500 0.250  -0.42
Y 0.500 0.500 0.750  -0.27